Computed, not measured: LiBeIr2 after structural relaxation at the PBEsol level of DFT.

a b c (Å): 4.109 4.109 4.109
angles (deg): 60.00 60.00 60.00
Positions (direct):
Ir 0.000 0.000 0.000
Ir 0.750 0.750 0.750
Be 0.500 0.500 0.500
Li 0.250 0.250 0.250

Formation enthalpy at 0 K: -31 meV/atom
Space group: F-43m (216)
Total energy: -25.74 eV per cell

---

Computed, not measured: LiBeIr2 after structural relaxation at the PBEsol level of DFT.

a b c (Å): 2.686 2.686 8.037
angles (deg): 80.38 80.38 60.00
Positions (direct):
Ir 0.258 0.258 0.225
Li 0.500 0.500 0.500
Be 0.000 0.000 0.000
Ir 0.742 0.742 0.775

Formation enthalpy at 0 K: -283 meV/atom
Space group: R-3m (166)
Total energy: -26.75 eV per cell

---

Computed, not measured: LiBeIr2 after structural relaxation at the PBEsol level of DFT.

a b c (Å): 2.745 3.936 4.481
angles (deg): 90.00 90.00 90.00
Positions (direct):
Ir 0.000 0.000 0.000
Li 0.500 0.500 0.000
Ir 0.500 0.000 0.500
Be 0.000 0.500 0.500

Formation enthalpy at 0 K: -146 meV/atom
Space group: Pmmm (47)
Total energy: -26.20 eV per cell

---

Computed, not measured: LiBeIr2 after structural relaxation at the PBEsol level of DFT.

a b c (Å): 3.630 3.630 8.538
angles (deg): 102.27 102.27 90.00
Positions (direct):
Be 0.000 0.000 0.000
Li 0.750 0.250 0.500
Ir 0.125 0.123 0.750
Ir 0.877 0.375 0.250
Ir 0.373 0.875 0.250
Li 0.500 0.500 0.000
Be 0.250 0.750 0.500
Ir 0.625 0.627 0.750

Formation enthalpy at 0 K: 358 meV/atom
Space group: I-42d (122)
Total energy: -48.36 eV per cell

---

Computed, not measured: LiBeIr2 after structural relaxation at the PBEsol level of DFT.

a b c (Å): 2.713 4.445 4.806
angles (deg): 115.92 106.39 90.00
Positions (direct):
Li 0.000 0.500 0.000
Be 0.500 0.000 0.000
Ir 0.778 0.777 0.556
Ir 0.222 0.223 0.444

Formation enthalpy at 0 K: -269 meV/atom
Space group: C2/m (12)
Total energy: -26.69 eV per cell

---

Computed, not measured: LiBeIr after structural relaxation at the PBEsol level of DFT.

a b c (Å): 2.915 2.915 4.681
angles (deg): 108.14 108.14 90.00
Positions (direct):
Be 0.032 0.032 0.064
Ir 0.636 0.636 0.272
Li 0.332 0.332 0.664

Formation enthalpy at 0 K: -239 meV/atom
Space group: I4mm (107)
Total energy: -16.51 eV per cell

---

Computed, not measured: Li2TiBeIr after structural relaxation at the PBEsol level of DFT.

a b c (Å): 3.991 3.991 4.239
angles (deg): 90.00 90.00 90.00
Site moments in Bohr magnetons follow the coordinates.
Positions (direct):
Li 0.000 0.500 0.000  0.10
Li 0.500 0.000 0.000  0.10
Ti 0.000 0.000 0.000  1.87
Ir 0.500 0.500 0.500  -0.04
Be 0.000 0.000 0.500  0.12

Formation enthalpy at 0 K: 1587 meV/atom
Space group: P4/mmm (123)
Total energy: -18.15 eV per cell

---

Computed, not measured: Mg2BeIr after structural relaxation at the PBEsol level of DFT.

a b c (Å): 2.987 2.987 6.942
angles (deg): 90.00 90.00 90.00
Positions (direct):
Be 0.000 0.000 0.566
Mg 0.500 0.500 0.297
Ir 0.500 0.500 0.691
Mg 0.000 0.000 0.947

Formation enthalpy at 0 K: -294 meV/atom
Space group: P4mm (99)
Total energy: -18.43 eV per cell